No. 1
Below is a relaxed structure of ZnReS2Cl, with properties calculated at the PBE level.

Cell and atoms, written as extended XYZ:
```
5
Lattice="4.571 0.000 0.000 0.000 4.571 0.000 0.000 0.000 5.095" Properties=species:S:1:pos:R:3 pbc="T T T"
Zn 2.285 2.285 2.548
S 2.285 0.000 0.000
Cl 0.000 0.000 2.548
S 0.000 2.285 0.000
Re 0.000 0.000 0.000
```

Properties
Polymorph energy (0 for the lowest one) in eV per atom: 0.000
Raw formation energy in meV per atom: 201
V in Å³/cell: 106
Spin magnetization in μB/f.u.: 0.0
Symmetry: No. 123

=====

No. 2
Below is a relaxed structure of ZnReSCl2, with properties calculated at the PBE level.

Cell and atoms, written as extended XYZ:
```
5
Lattice="4.575 0.000 0.000 0.000 4.575 0.000 0.000 0.000 5.287" Properties=species:S:1:pos:R:3 pbc="T T T"
Re 2.287 2.287 2.644
S 0.000 0.000 2.644
Cl 0.000 2.287 0.000
Zn 0.000 0.000 0.000
Cl 2.287 0.000 0.000
```

Properties
Polymorph energy (0 for the lowest one) in eV per atom: 0.564
Raw formation energy in meV per atom: 732
V in Å³/cell: 111
Spin magnetization in μB/f.u.: 5.0
Symmetry: No. 123

=====

No. 3
Below is a relaxed structure of ZrReS2Cl, with properties calculated at the PBE level.

Cell and atoms, written as extended XYZ:
```
5
Lattice="5.024 0.000 0.000 0.000 5.024 0.000 0.000 0.000 5.037" Properties=species:S:1:pos:R:3 pbc="T T T"
Re 2.512 2.512 2.518
Zr 0.000 0.000 0.000
S 0.000 2.512 0.000
Cl 0.000 0.000 2.518
S 2.512 0.000 0.000
```

Properties
Polymorph energy (0 for the lowest one) in eV per atom: 0.005
Raw formation energy in meV per atom: 332
V in Å³/cell: 127
Spin magnetization in μB/f.u.: 5.9
Symmetry: No. 123

=====

No. 4
Below is a relaxed structure of ZrReS2Cl, with properties calculated at the PBE level.

Cell and atoms, written as extended XYZ:
```
5
Lattice="-0.183 3.934 2.399 -1.079 -2.370 3.805 4.579 -0.419 1.038" Properties=species:S:1:pos:R:3 pbc="T T T"
S -0.092 1.967 1.199
Zr 1.658 0.572 3.621
Re 0.000 0.000 0.000
Cl 2.289 -0.210 0.519
S -0.540 -1.185 1.902
```

Properties
Polymorph energy (0 for the lowest one) in eV per atom: 0.000
Raw formation energy in meV per atom: 327
V in Å³/cell: 100
Spin magnetization in μB/f.u.: 0.0
Symmetry: No. 123

=====

No. 5
Below is a relaxed structure of ReSbCl, with properties calculated at the PBE level.

Cell and atoms, written as extended XYZ:
```
3
Lattice="4.988 -0.008 0.014 1.821 4.644 -0.014 -2.695 -3.360 2.516" Properties=species:S:1:pos:R:3 pbc="T T T"
Cl 0.165 0.112 0.000
Sb 4.571 3.111 0.000
Re 2.075 1.412 0.000
```

Properties
Polymorph energy (0 for the lowest one) in eV per atom: 0.494
Raw formation energy in meV per atom: 833
V in Å³/cell: 58
Spin magnetization in μB/f.u.: 0.0
Symmetry: No. 44

=====

No. 6
Below is a relaxed structure of Re2SbCl, with properties calculated at the PBE level.

Cell and atoms, written as extended XYZ:
```
4
Lattice="4.545 -0.002 0.000 -0.005 4.545 0.000 -2.270 -2.271 3.216" Properties=species:S:1:pos:R:3 pbc="T T T"
Re 2.270 2.271 0.000
Sb -0.002 2.272 1.608
Re 0.000 0.000 0.000
Cl 2.272 -0.001 1.608
```

Properties
Polymorph energy (0 for the lowest one) in eV per atom: 1.073
Raw formation energy in meV per atom: 1124
V in Å³/cell: 66
Spin magnetization in μB/f.u.: 0.0
Symmetry: No. 139

=====

No. 7
Below is a relaxed structure of Re2SbCl, with properties calculated at the PBE level.

Cell and atoms, written as extended XYZ:
```
4
Lattice="-1.445 -2.717 5.727 1.591 -5.704 2.683 1.323 5.787 -2.650" Properties=species:S:1:pos:R:3 pbc="T T T"
Sb 0.079 -4.550 4.545
Cl 1.492 -2.026 2.082
Re -0.022 -0.724 3.794
Re 0.137 -7.964 7.954
```

Properties
Polymorph energy (0 for the lowest one) in eV per atom: 0.781
Raw formation energy in meV per atom: 832
V in Å³/cell: 75
Spin magnetization in μB/f.u.: 0.0
Symmetry: No. 44

=====

No. 8
Below is a relaxed structure of Re2SbCl, with properties calculated at the PBE level.

Cell and atoms, written as extended XYZ:
```
4
Lattice="10.314 0.022 0.013 9.867 3.003 0.013 9.867 1.479 2.613" Properties=species:S:1:pos:R:3 pbc="T T T"
Re 29.903 4.483 2.627
Sb 15.645 2.345 1.374
Cl 21.729 3.257 1.909
Re 7.841 1.175 0.689
```

Properties
Polymorph energy (0 for the lowest one) in eV per atom: 0.267
Raw formation energy in meV per atom: 318
V in Å³/cell: 80
Spin magnetization in μB/f.u.: 0.0
Symmetry: No. 160

=====

No. 9
Below is a relaxed structure of Re2SbCl, with properties calculated at the PBE level.

Cell and atoms, written as extended XYZ:
```
4
Lattice="3.082 -0.008 0.000 -1.589 2.641 0.000 0.000 0.000 8.702" Properties=species:S:1:pos:R:3 pbc="T T T"
Re 0.000 0.000 0.003
Re 0.000 0.000 4.347
Cl 0.746 1.316 6.526
Sb 0.746 1.316 2.175
```

Properties
Polymorph energy (0 for the lowest one) in eV per atom: 1.086
Raw formation energy in meV per atom: 1136
V in Å³/cell: 71
Spin magnetization in μB/f.u.: 0.0
Symmetry: No. 65

=====

No. 10
Below is a relaxed structure of Re2SbCl, with properties calculated at the PBE level.

Cell and atoms, written as extended XYZ:
```
4
Lattice="2.918 0.000 0.000 0.000 5.268 0.000 0.000 0.000 4.518" Properties=species:S:1:pos:R:3 pbc="T T T"
Re 0.000 0.000 0.000
Re 1.459 2.634 0.000
Cl 0.000 2.634 2.259
Sb 1.459 0.000 2.259
```

Properties
Polymorph energy (0 for the lowest one) in eV per atom: 1.090
Raw formation energy in meV per atom: 1140
V in Å³/cell: 69
Spin magnetization in μB/f.u.: 0.0
Symmetry: No. 47

=====

No. 11
Below is a relaxed structure of Re2SbCl, with properties calculated at the PBE level.

Cell and atoms, written as extended XYZ:
```
4
Lattice="3.016 -0.003 0.000 -1.509 2.612 0.000 0.000 0.000 9.983" Properties=species:S:1:pos:R:3 pbc="T T T"
Sb 0.000 0.000 4.639
Cl 0.754 1.304 8.072
Re 0.000 0.000 0.120
Re 0.754 1.304 2.144
```

Properties
Polymorph energy (0 for the lowest one) in eV per atom: 0.494
Raw formation energy in meV per atom: 545
V in Å³/cell: 79
Spin magnetization in μB/f.u.: 0.0
Symmetry: No. 35

=====

No. 12
Below is a relaxed structure of Re2SbCl, with properties calculated at the PBE level.

Cell and atoms, written as extended XYZ:
```
4
Lattice="-1.816 1.999 -3.567 0.742 0.640 -4.366 -2.873 -4.119 -2.198" Properties=species:S:1:pos:R:3 pbc="T T T"
Re -1.859 -0.586 -4.958
Sb -2.961 -1.110 -7.598
Cl -0.987 -0.370 -2.533
Re -0.115 -0.154 -0.107
```

Properties
Polymorph energy (0 for the lowest one) in eV per atom: 0.866
Raw formation energy in meV per atom: 916
V in Å³/cell: 68
Spin magnetization in μB/f.u.: 0.0
Symmetry: No. 12